(1)
CoAgRh | PBE | relaxed

abc: 4.3291 4.3291 9.1060
angles: 113.19 113.19 36.25
Fractional coordinates of all 6 atoms:
Co 0.1725 0.1725 0.0768
Co 0.8275 0.8275 0.9232
Ag 0.3230 0.3230 0.4080
Ag 0.6770 0.6770 0.5920
Rh 0.0353 0.0353 0.7834
Rh 0.9647 0.9647 0.2166

Raw total energy: -5.400 eV/atom
Density of states at the Fermi level: 0.82 states/eV/atom
Excess energy over the best structure of this formula in the dataset: 0.47 eV per formula unit
Volume: 91.8 Å³ per cell
Formation enthalpy at 0 K: 369 meV/atom



(2)
CoAgRh | PBE | relaxed

abc: 5.9763 5.9763 5.9763
angles: 153.11 153.11 38.39
Fractional coordinates of all 3 atoms:
Co 0.0000 0.0000 0.0000
Ag 0.6730 0.6730 0.0000
Rh 0.3618 0.3618 0.0000

Raw total energy: -5.545 eV/atom
Density of states at the Fermi level: 1.06 states/eV/atom
Excess energy over the best structure of this formula in the dataset: 0.04 eV per formula unit
Volume: 43.6 Å³ per cell
Formation enthalpy at 0 K: 225 meV/atom



(3)
CoAg2Rh | PBE | relaxed

abc: 5.3814 5.3814 5.3814
angles: 149.25 128.24 61.42
Fractional coordinates of all 4 atoms:
Co 0.0000 0.0000 0.0000
Ag 0.4824 0.4824 0.0000
Ag 0.7527 0.2527 0.5000
Rh 0.2151 0.7151 0.5000

Raw total energy: -4.686 eV/atom
Density of states at the Fermi level: 1.07 states/eV/atom
Excess energy over the best structure of this formula in the dataset: 0.70 eV per formula unit
Volume: 62.0 Å³ per cell
Formation enthalpy at 0 K: 354 meV/atom



(4)
CoAg2Rh | PBE | relaxed

abc: 9.3112 9.3112 9.3112
angles: 17.17 17.17 17.17
Fractional coordinates of all 4 atoms:
Co 0.0000 0.0000 0.0000
Ag 0.2508 0.2508 0.2508
Ag 0.4925 0.4925 0.4925
Rh 0.7376 0.7376 0.7376

Raw total energy: -4.830 eV/atom
Density of states at the Fermi level: 1.03 states/eV/atom
Excess energy over the best structure of this formula in the dataset: 0.12 eV per formula unit
Volume: 61.4 Å³ per cell
Formation enthalpy at 0 K: 210 meV/atom



(5)
CoAgRh | PBE | relaxed

abc: 2.7323 2.7323 6.7373
angles: 90.00 90.00 120.00
Fractional coordinates of all 3 atoms:
Co 0.0000 0.0000 0.0000
Ag 0.3333 0.6667 0.6595
Rh 0.6667 0.3333 0.2945

Raw total energy: -5.558 eV/atom
Density of states at the Fermi level: 0.71 states/eV/atom
Excess energy over the best structure of this formula in the dataset: 0.00 eV per formula unit
Volume: 43.6 Å³ per cell
Formation enthalpy at 0 K: 211 meV/atom



(6)
CoAgRh2 | PBE | relaxed

abc: 5.5920 5.5920 5.5920
angles: 102.52 102.52 124.50
Fractional coordinates of all 8 atoms:
Co 0.0000 0.0000 0.0000
Co 0.7500 0.2500 0.5000
Ag 0.2500 0.7500 0.5000
Ag 0.5000 0.5000 0.0000
Rh 0.0774 0.6250 0.9524
Rh 0.3750 0.3274 0.4524
Rh 0.6726 0.1250 0.0476
Rh 0.8750 0.9226 0.5476

Raw total energy: -5.608 eV/atom
Density of states at the Fermi level: 1.88 states/eV/atom
Excess energy over the best structure of this formula in the dataset: 1.66 eV per formula unit
Volume: 127.5 Å³ per cell
Formation enthalpy at 0 K: 557 meV/atom



(7)
CoAg2Rh | PBE | relaxed

abc: 4.4362 4.4362 4.4362
angles: 60.00 60.00 60.00
Fractional coordinates of all 4 atoms:
Co 0.0000 0.0000 0.0000
Ag 0.2500 0.2500 0.2500
Ag 0.7500 0.7500 0.7500
Rh 0.5000 0.5000 0.5000

Raw total energy: -4.551 eV/atom
Density of states at the Fermi level: 0.89 states/eV/atom
Excess energy over the best structure of this formula in the dataset: 1.24 eV per formula unit
Volume: 61.7 Å³ per cell
Formation enthalpy at 0 K: 489 meV/atom



(8)
CoAgRh2 | PBE | relaxed

abc: 4.4336 4.4336 3.0000
angles: 90.00 90.00 90.00
Fractional coordinates of all 4 atoms:
Co 0.0000 0.0000 0.0000
Ag 0.5000 0.5000 0.0000
Rh 0.0000 0.5000 0.5000
Rh 0.5000 0.0000 0.5000

Raw total energy: -5.768 eV/atom
Density of states at the Fermi level: 1.21 states/eV/atom
Excess energy over the best structure of this formula in the dataset: 1.02 eV per formula unit
Volume: 59.0 Å³ per cell
Formation enthalpy at 0 K: 397 meV/atom



- Which formula does entry 2 have?
  CoAgRh